# 1
# NaDyOs

An optimized crystal structure of NaDyOs (PBE-GGA, OQMD via LeMat-Bulk).

Computed properties:
Excess energy over the best structure of this formula in the dataset = 0.00 kcal/mol of atoms
SG = F-43m, No. 216

a b c (Å): 4.6847 4.6847 4.6847
angles (deg): 60.00 60.00 60.00
With the nearest neighbours (Å) after each atom.
Fractional coordinates of all 3 atoms:
Dy 0.2500 0.2500 0.2500  4 Os 2.87
Na 0.7500 0.7500 0.7500  4 Os 2.87
Os 0.0000 0.0000 0.0000  4 Na 2.87, 4 Dy 2.87

---

# 2
# Tb2Sc2O5

An optimized crystal structure of Tb2Sc2O5 (PBE-GGA, OQMD via LeMat-Bulk).

Computed properties:
Excess energy over the best structure of this formula in the dataset = 4.47 kcal/mol of atoms
SG = P4/mmm, No. 123

a b c (Å): 9.4654 3.7707 3.7707
angles (deg): 90.00 90.00 90.00
With the nearest neighbours (Å) after each atom.
Fractional coordinates of all 9 atoms:
Tb 0.7591 0.5000 0.5000  4 O 2.14
Tb 0.2410 0.5000 0.5000  4 O 2.14
O 0.1346 0.5000 0.0000  2 Tb 2.14, 2 Sc 2.28
O 0.8654 0.0000 0.5000  2 Tb 2.14, 2 Sc 2.28
O 0.1346 0.0000 0.5000  2 Tb 2.14, 2 Sc 2.28
O 0.8654 0.5000 0.0000  2 Tb 2.14, 2 Sc 2.28
O 0.5000 0.5000 0.5000  2 Tb 2.45, 4 Sc 2.67
Sc 0.5000 0.0000 0.0000  4 O 2.67
Sc 0.0000 0.0000 0.0000  8 O 2.28

---

# 3
# HfAgIr

An optimized crystal structure of HfAgIr (PBE-GGA, OQMD via LeMat-Bulk).

Computed properties:
DFT formation energy = -0.17 eV per atom
Excess energy over the best structure of this formula in the dataset = 0.00 kcal/mol of atoms
SG = F-43m, No. 216

a b c (Å): 4.4443 4.4443 4.4443
angles (deg): 60.00 60.00 60.00
With the nearest neighbours (Å) after each atom.
Fractional coordinates of all 3 atoms:
Ag 0.2500 0.2500 0.2500  4 Ir 2.72
Hf 0.7500 0.7500 0.7500  4 Ir 2.72
Ir 0.0000 0.0000 0.0000  4 Hf 2.72, 4 Ag 2.72

---

# 4
# Ho2SO6

An optimized crystal structure of Ho2SO6 (PBE-GGA, OQMD via LeMat-Bulk).

Computed properties:
Excess energy over the best structure of this formula in the dataset = 0.00 kcal/mol of atoms
SG = C2/c, No. 15

a b c (Å): 6.9324 6.9324 7.9608
angles (deg): 107.01 107.01 34.60
With the nearest neighbours (Å) after each atom.
Fractional coordinates of all 18 atoms:
Ho 0.6822 0.6611 0.0853  6 O 2.23-2.49
Ho 0.6611 0.6822 0.5853  6 O 2.23-2.49
Ho 0.3178 0.3389 0.9147  6 O 2.23-2.49
Ho 0.3389 0.3178 0.4147  6 O 2.23-2.49
O 0.2647 0.2253 0.1226  4 Ho 2.23-2.29
O 0.2413 0.9513 0.2978  1 S 1.47
O 0.9513 0.2413 0.7978  1 S 1.47
O 0.7353 0.7747 0.8774  4 Ho 2.23-2.29
O 0.7298 0.2718 0.4014  1 S 1.49
O 0.0487 0.7587 0.2022  1 S 1.47
O 0.2253 0.2647 0.6226  4 Ho 2.23-2.29
O 0.7282 0.2702 0.0986  1 S 1.49
O 0.2718 0.7298 0.9014  1 S 1.49
O 0.7587 0.0487 0.7022  1 S 1.47
O 0.7747 0.7353 0.3774  4 Ho 2.23-2.29
O 0.2702 0.7282 0.5986  1 S 1.49
S 0.0564 0.9436 0.7500  4 O 1.47-1.49
S 0.9436 0.0564 0.2500  4 O 1.47-1.49

---

# 5
# Sr2Li2Nb4O13

An optimized crystal structure of Sr2Li2Nb4O13 (PBE-GGA, OQMD via LeMat-Bulk).

Computed properties:
E = -7.9867 eV per atom
SG = I4/mmm, No. 139

a b c (Å): 17.1738 3.9725 3.9725
angles (deg): 90.00 96.64 96.64
With the nearest neighbours (Å) after each atom.
Fractional coordinates of all 21 atoms:
O 0.0000 0.0000 0.0000  2 Nb 1.92
O 0.2358 0.1179 0.1179  2 Nb 2.07-2.11
O 0.7642 0.8821 0.8821  2 Nb 2.07-2.11
O 0.3485 0.6742 0.1742  2 Nb 2.00
O 0.5283 0.7642 0.7642  1 Nb 1.89, 4 Li 2.04
O 0.8738 0.9369 0.4369  2 Nb 2.00
O 0.1262 0.0631 0.5631  2 Nb 2.00
O 0.6515 0.3258 0.8258  2 Nb 2.00
O 0.4717 0.2358 0.2358  1 Nb 1.89, 4 Li 2.04
O 0.1262 0.5631 0.0631  2 Nb 2.00
O 0.8738 0.4369 0.9369  2 Nb 2.00
O 0.3485 0.1742 0.6742  2 Nb 2.00
O 0.6515 0.8258 0.3258  2 Nb 2.00
Li 0.5000 0.7500 0.2500  4 O 2.04
Li 0.5000 0.2500 0.7500  4 O 2.04
Nb 0.6398 0.8199 0.8199  6 O 1.89-2.11
Nb 0.1134 0.0567 0.0567  6 O 1.92-2.07
Nb 0.8866 0.9433 0.9433  6 O 1.92-2.07
Nb 0.3602 0.1801 0.1801  6 O 1.89-2.11
Sr 0.7648 0.3824 0.3824  12 O 2.71-2.81
Sr 0.2352 0.6176 0.6176  12 O 2.71-2.81

---

# 6
# Pm2Pr2O5

An optimized crystal structure of Pm2Pr2O5 (PBE-GGA, OQMD via LeMat-Bulk).

Computed properties:
Excess energy over the best structure of this formula in the dataset = 4.02 kcal/mol of atoms
SG = P4/mmm, No. 123

a b c (Å): 7.3215 4.5959 4.5959
angles (deg): 90.00 90.00 90.00
With the nearest neighbours (Å) after each atom.
Fractional coordinates of all 9 atoms:
Pm 0.5000 0.0000 0.0000  12 O 3.09-3.25
Pm 0.0000 0.0000 0.0000  8 O 2.80
Pr 0.2090 0.5000 0.5000  5 O 2.13-2.30
Pr 0.7910 0.5000 0.5000  5 O 2.13-2.30
O 0.5000 0.5000 0.5000  2 Pr 2.13
O 0.7816 0.0000 0.5000  2 Pr 2.30
O 0.2184 0.0000 0.5000  2 Pr 2.30
O 0.2184 0.5000 0.0000  2 Pr 2.30
O 0.7816 0.5000 0.0000  2 Pr 2.30

---

# 7
# Li2ZrAl2NiPt2

An optimized crystal structure of Li2ZrAl2NiPt2 (PBE-GGA, OQMD via LeMat-Bulk).

Computed properties:
E = -5.3266 eV per atom
SG = P-4m2, No. 115

a b c (Å): 4.0356 4.0356 7.1462
angles (deg): 90.00 90.00 90.00
With the nearest neighbours (Å) after each atom.
Fractional coordinates of all 8 atoms:
Al 0.0000 0.5000 0.2076  2 Ni 2.50, 2 Pt 2.50
Al 0.5000 0.0000 0.7924  2 Pt 2.50, 2 Ni 2.50
Ni 0.0000 0.0000 0.0000  4 Al 2.50, 4 Li 2.56
Li 0.5000 0.0000 0.2198  4 Pt 2.56-2.84, 2 Ni 2.56, 2 Zr 2.84, 4 Al 2.85
Li 0.0000 0.5000 0.7802  2 Ni 2.56, 4 Pt 2.56-2.84, 2 Zr 2.84, 4 Al 2.85
Pt 0.5000 0.5000 0.0000  4 Al 2.50, 4 Li 2.56
Pt 0.0000 0.0000 0.5000  4 Li 2.84, 4 Zr 2.85, 4 Al 2.90
Zr 0.5000 0.5000 0.5000  4 Li 2.84, 4 Pt 2.85, 4 Al 2.90

---

# 8
# PrHoSe2

An optimized crystal structure of PrHoSe2 (PBE-GGA, OQMD via LeMat-Bulk).

Computed properties:
E = -5.8724 eV per atom
SG = C2/m, No. 12

a b c (Å): 4.0992 4.0992 7.3536
angles (deg): 106.24 106.24 60.11
With the nearest neighbours (Å) after each atom.
Fractional coordinates of all 4 atoms:
Se 0.7435 0.7435 0.2302  3 Ho 2.86, 3 Pr 3.02
Se 0.2565 0.2565 0.7698  3 Ho 2.86, 3 Pr 3.02
Pr 0.5000 0.5000 0.5000  6 Se 3.02
Ho 0.0000 0.0000 0.0000  6 Se 2.86

---

Repeat the sixth record exactly.
# Pm2Pr2O5

An optimized crystal structure of Pm2Pr2O5 (PBE-GGA, OQMD via LeMat-Bulk).

Computed properties:
Excess energy over the best structure of this formula in the dataset = 4.02 kcal/mol of atoms
SG = P4/mmm, No. 123

a b c (Å): 7.3215 4.5959 4.5959
angles (deg): 90.00 90.00 90.00
With the nearest neighbours (Å) after each atom.
Fractional coordinates of all 9 atoms:
Pm 0.5000 0.0000 0.0000  12 O 3.09-3.25
Pm 0.0000 0.0000 0.0000  8 O 2.80
Pr 0.2090 0.5000 0.5000  5 O 2.13-2.30
Pr 0.7910 0.5000 0.5000  5 O 2.13-2.30
O 0.5000 0.5000 0.5000  2 Pr 2.13
O 0.7816 0.0000 0.5000  2 Pr 2.30
O 0.2184 0.0000 0.5000  2 Pr 2.30
O 0.2184 0.5000 0.0000  2 Pr 2.30
O 0.7816 0.5000 0.0000  2 Pr 2.30

---

Number 3 is which compound? HfAgIr

---

What did the eighth record say?
# PrHoSe2

An optimized crystal structure of PrHoSe2 (PBE-GGA, OQMD via LeMat-Bulk).

Computed properties:
E = -5.8724 eV per atom
SG = C2/m, No. 12

a b c (Å): 4.0992 4.0992 7.3536
angles (deg): 106.24 106.24 60.11
With the nearest neighbours (Å) after each atom.
Fractional coordinates of all 4 atoms:
Se 0.7435 0.7435 0.2302  3 Ho 2.86, 3 Pr 3.02
Se 0.2565 0.2565 0.7698  3 Ho 2.86, 3 Pr 3.02
Pr 0.5000 0.5000 0.5000  6 Se 3.02
Ho 0.0000 0.0000 0.0000  6 Se 2.86